Material: TcHgSe2N
Method: DFT, meta-GGA SCAN
State: single point on PBEsol structure

CIF file:
```
data_TcHgSe2N
_symmetry_space_group_name_H-M 'P 4/m m m'
_symmetry_Int_Tables_number 123
_symmetry_space_group_name_Hall '-P 4 2'
_cell_length_a 5.0260
_cell_length_b 5.0260
_cell_length_c 3.6720
_cell_angle_alpha 90.00
_cell_angle_beta 90.00
_cell_angle_gamma 90.00
loop_
_atom_site_label
_atom_site_type_symbol
_atom_site_fract_x
_atom_site_fract_y
_atom_site_fract_z
Tc1 Tc 0.0000 0.0000 0.0000
Hg1 Hg 0.5000 0.5000 0.5000
Se1 Se 0.0000 0.5000 0.0000
N1 N 0.0000 0.0000 0.5000
```

Summary:
Energy   -151.5 eV/cell
Spin magnetization   0.00 μB per atom
E_form (uncorrected)   22.42 kJ per mole of atoms
DOS at the Fermi energy   2.7 states/eV per cell
Volume   92.8 Å³/f.u.